Record 1
CaMn3Au, optimized geometry, DFT GGA-PBE; distance to the lowest polymorph of the same formula = 0.00 kcal/mol of atoms; total DFT energy (no corrections) = -29.63 eV/cell; DOS at the Fermi energy = 0.994 states/eV per atom; magnetic moment = 12.73 μB per formula unit; symmetry = Pm-3m, No. 221; ΔE_f = 3.156 eV per formula unit; crystal system = cubic
1.0
5.013 0.000 0.000
0.000 5.013 0.000
0.000 0.000 5.013
Ca Mn Au
1 3 1
direct
0.000 0.000 0.000
0.000 0.500 0.500
0.500 0.000 0.500
0.500 0.500 0.000
0.500 0.500 0.500



Record 2
CaMnAu, optimized geometry, DFT GGA-PBE; total DFT energy (no corrections) = -14.51 eV/cell; DOS at the Fermi energy = 1.151 states/eV per atom; magnetic moment = 4.33 μB per formula unit; symmetry = F-43m, No. 216; ΔE_f = -0.065 eV per formula unit; crystal system = cubic
1.0
0.000 3.361 3.361
3.361 0.000 3.361
3.361 3.361 0.000
Ca Mn Au
1 1 1
direct
0.000 0.000 0.000
0.500 0.500 0.500
0.250 0.250 0.250



Record 3
CaMnAu, optimized geometry, DFT GGA-PBE; total DFT energy (no corrections) = -13.07 eV/cell; DOS at the Fermi energy = 1.199 states/eV per atom; magnetic moment = 4.42 μB per formula unit; symmetry = F-43m, No. 216; ΔE_f = 1.377 eV per formula unit; crystal system = cubic
1.0
0.000 3.404 3.404
3.404 0.000 3.404
3.404 3.404 0.000
Ca Mn Au
1 1 1
direct
0.000 0.000 0.000
0.250 0.250 0.250
0.750 0.750 0.750



Record 4
CaMnAu2, optimized geometry, DFT GGA-PBE; total DFT energy (no corrections) = -18.69 eV/cell; DOS at the Fermi energy = 0.530 states/eV per atom; magnetic moment = 4.13 μB per formula unit; symmetry = Cm, No. 8; ΔE_f = -0.967 eV per formula unit; crystal system = monoclinic
1.0
4.940 -1.781 0.000
4.940 1.781 0.000
-1.279 0.000 4.674
Ca Mn Au
1 1 2
direct
0.000 0.000 0.000
0.774 0.774 0.356
0.249 0.249 0.774
0.501 0.501 0.492



Record 5
Ca3MnAu, optimized geometry, DFT GGA-PBE; distance to the lowest polymorph of the same formula = 6.21 kcal/mol of atoms; total DFT energy (no corrections) = -16.49 eV/cell; DOS at the Fermi energy = 0.740 states/eV per atom; magnetic moment = 2.14 μB per formula unit; symmetry = Pm-3m, No. 221; ΔE_f = 1.962 eV per formula unit; crystal system = cubic
1.0
5.347 0.000 0.000
0.000 5.347 0.000
0.000 0.000 5.347
Ca Mn Au
3 1 1
direct
0.000 0.000 0.500
0.000 0.500 0.000
0.500 0.000 0.000
0.000 0.000 0.000
0.500 0.500 0.500



Record 6
Ca2MnAu, optimized geometry, DFT GGA-PBE; total DFT energy (no corrections) = -31.56 eV/cell; DOS at the Fermi energy = 0.866 states/eV per atom; magnetic moment = 3.86 μB per formula unit; symmetry = I-42d, No. 122; ΔE_f = 0.673 eV per formula unit; crystal system = tetragonal
1.0
-4.113 4.113 3.191
4.113 -4.113 3.191
4.113 4.113 -3.191
Ca Mn Au
4 2 2
direct
0.098 0.125 0.473
0.375 0.902 0.027
0.652 0.625 0.527
0.875 0.348 0.973
0.250 0.750 0.500
0.500 0.500 0.000
0.000 0.000 0.000
0.750 0.250 0.500



Record 7
CaMnAu2, optimized geometry, DFT GGA-PBE; total DFT energy (no corrections) = -19.18 eV/cell; DOS at the Fermi energy = 0.530 states/eV per atom; magnetic moment = 4.31 μB per formula unit; symmetry = P2/m, No. 10; ΔE_f = -1.458 eV per formula unit; crystal system = monoclinic
1.0
3.373 0.000 0.000
0.000 3.470 0.000
-0.015 0.000 6.892
Ca Mn Au
1 1 2
direct
0.000 0.000 0.000
0.000 0.000 0.500
0.500 0.500 0.288
0.500 0.500 0.712



Record 8
CaMnAu2, optimized geometry, DFT GGA-PBE; total DFT energy (no corrections) = -18.69 eV/cell; DOS at the Fermi energy = 0.567 states/eV per atom; magnetic moment = 4.18 μB per formula unit; symmetry = Imm2, No. 44; ΔE_f = -0.962 eV per formula unit; crystal system = orthorhombic
1.0
-2.093 2.102 4.459
2.093 -2.102 4.459
2.093 2.102 -4.459
Ca Mn Au
1 1 2
direct
0.000 0.000 0.000
0.749 0.249 0.500
0.251 0.751 0.500
0.501 0.501 0.000



Record 9
Ca2MnAu, optimized geometry, DFT GGA-PBE; total DFT energy (no corrections) = -16.83 eV/cell; DOS at the Fermi energy = 0.677 states/eV per atom; magnetic moment = 4.52 μB per formula unit; symmetry = P4mm, No. 99; ΔE_f = -0.378 eV per formula unit; crystal system = tetragonal
1.0
3.604 0.000 0.000
0.000 3.604 0.000
0.000 0.000 8.228
Ca Mn Au
2 1 1
direct
0.000 0.000 0.000
0.500 0.500 0.375
0.000 0.000 0.632
0.500 0.500 0.760



Record 10
CaMnAu2, optimized geometry, DFT GGA-PBE; total DFT energy (no corrections) = -18.91 eV/cell; DOS at the Fermi energy = 0.563 states/eV per atom; magnetic moment = 4.15 μB per formula unit; symmetry = P4/mmm, No. 123; ΔE_f = -1.184 eV per formula unit; crystal system = tetragonal
1.0
4.761 0.000 0.000
0.000 4.761 0.000
0.000 0.000 3.537
Ca Mn Au
1 1 2
direct
0.000 0.000 0.000
0.500 0.500 0.000
0.000 0.500 0.500
0.500 0.000 0.500



Record 11
CaMnAu2, optimized geometry, DFT GGA-PBE; total DFT energy (no corrections) = -18.67 eV/cell; DOS at the Fermi energy = 0.256 states/eV per atom; magnetic moment = 4.11 μB per formula unit; symmetry = P4mm, No. 99; ΔE_f = -0.943 eV per formula unit; crystal system = tetragonal
1.0
3.701 0.000 0.000
0.000 3.701 0.000
0.000 0.000 6.168
Ca Mn Au
1 1 2
direct
0.000 0.000 0.000
0.500 0.500 0.345
0.000 0.000 0.482
0.500 0.500 0.777



Record 12
Ca2MnAu, optimized geometry, DFT GGA-PBE; total DFT energy (no corrections) = -16.91 eV/cell; DOS at the Fermi energy = 0.655 states/eV per atom; magnetic moment = 3.77 μB per formula unit; symmetry = P4/mmm, No. 123; ΔE_f = -0.462 eV per formula unit; crystal system = tetragonal
1.0
5.089 0.000 0.000
0.000 5.089 0.000
0.000 0.000 3.759
Ca Mn Au
2 1 1
direct
0.000 0.500 0.000
0.500 0.000 0.000
0.000 0.000 0.500
0.500 0.500 0.500



Record 13
CaMn3Au, optimized geometry, DFT GGA-PBE; distance to the lowest polymorph of the same formula = 25.29 kcal/mol of atoms; total DFT energy (no corrections) = -24.15 eV/cell; DOS at the Fermi energy = 0.635 states/eV per atom; magnetic moment = 10.79 μB per formula unit; symmetry = Pm-3m, No. 221; ΔE_f = 8.640 eV per formula unit; crystal system = cubic
1.0
4.700 0.000 0.000
0.000 4.700 0.000
0.000 0.000 4.700
Ca Mn Au
1 3 1
direct
0.000 0.000 0.000
0.000 0.000 0.500
0.000 0.500 0.000
0.500 0.000 0.000
0.500 0.500 0.500



Record 14
Ca2MnAu, optimized geometry, DFT GGA-PBE; total DFT energy (no corrections) = -16.37 eV/cell; DOS at the Fermi energy = 0.833 states/eV per atom; magnetic moment = 4.33 μB per formula unit; symmetry = F-43m, No. 216; ΔE_f = 0.078 eV per formula unit; crystal system = cubic
1.0
0.000 3.572 3.572
3.572 0.000 3.572
3.572 3.572 0.000
Ca Mn Au
2 1 1
direct
0.000 0.000 0.000
0.250 0.250 0.250
0.500 0.500 0.500
0.750 0.750 0.750



Record 15
Ca2MnAu, optimized geometry, DFT GGA-PBE; total DFT energy (no corrections) = -16.08 eV/cell; DOS at the Fermi energy = 1.020 states/eV per atom; magnetic moment = 3.80 μB per formula unit; symmetry = R-3m, No. 166; ΔE_f = 0.370 eV per formula unit; crystal system = trigonal
1.0
1.896 1.095 8.928
-1.896 1.095 8.928
0.000 -2.190 8.928
Ca Mn Au
2 1 1
direct
0.244 0.244 0.244
0.756 0.756 0.756
0.000 0.000 0.000
0.500 0.500 0.500



Record 16
Ca4MnAu, optimized geometry, DFT GGA-PBE; total DFT energy (no corrections) = -16.83 eV/cell; DOS at the Fermi energy = 1.202 states/eV per atom; magnetic moment = 4.39 μB per formula unit; symmetry = F-43m, No. 216; ΔE_f = 3.625 eV per formula unit; crystal system = cubic
1.0
0.000 4.589 4.589
4.589 0.000 4.589
4.589 4.589 0.000
Ca Mn Au
4 1 1
direct
0.125 0.125 0.125
0.125 0.125 0.625
0.125 0.625 0.125
0.625 0.125 0.125
0.750 0.750 0.750
0.500 0.500 0.500



Record 17
CaMn2Au2, optimized geometry, DFT GGA-PBE; distance to the lowest polymorph of the same formula = 0.00 kcal/mol of atoms; total DFT energy (no corrections) = -54.95 eV/cell; DOS at the Fermi energy = 0.554 states/eV per atom; magnetic moment = 7.98 μB per formula unit; symmetry = P4/mbm, No. 127; ΔE_f = -0.579 eV per formula unit; crystal system = tetragonal
1.0
7.836 0.000 0.000
0.000 7.836 0.000
0.000 0.000 3.104
Ca Mn Au
2 4 4
direct
0.000 0.000 0.000
0.500 0.500 0.000
0.126 0.374 0.000
0.374 0.874 0.000
0.626 0.126 0.000
0.874 0.626 0.000
0.169 0.669 0.500
0.331 0.169 0.500
0.669 0.831 0.500
0.831 0.331 0.500



Record 18
CaMnAu3, optimized geometry, DFT GGA-PBE; distance to the lowest polymorph of the same formula = 0.00 kcal/mol of atoms; total DFT energy (no corrections) = -21.27 eV/cell; DOS at the Fermi energy = 0.574 states/eV per atom; magnetic moment = 4.08 μB per formula unit; symmetry = Pm-3m, No. 221; ΔE_f = -0.270 eV per formula unit; crystal system = cubic
1.0
4.971 0.000 0.000
0.000 4.971 0.000
0.000 0.000 4.971
Ca Mn Au
1 1 3
direct
0.000 0.000 0.000
0.500 0.500 0.500
0.000 0.500 0.500
0.500 0.000 0.500
0.500 0.500 0.000



Record 19
Ca3MnAu, optimized geometry, DFT GGA-PBE; distance to the lowest polymorph of the same formula = 0.00 kcal/mol of atoms; total DFT energy (no corrections) = -17.84 eV/cell; DOS at the Fermi energy = 1.167 states/eV per atom; magnetic moment = 4.60 μB per formula unit; symmetry = Pm-3m, No. 221; ΔE_f = 0.615 eV per formula unit; crystal system = cubic
1.0
5.648 0.000 0.000
0.000 5.648 0.000
0.000 0.000 5.648
Ca Mn Au
3 1 1
direct
0.000 0.000 0.500
0.000 0.500 0.000
0.500 0.000 0.000
0.500 0.500 0.500
0.000 0.000 0.000



Record 20
CaMnAu2, optimized geometry, DFT GGA-PBE; total DFT energy (no corrections) = -35.34 eV/cell; DOS at the Fermi energy = 0.570 states/eV per atom; magnetic moment = 4.22 μB per formula unit; symmetry = I-42d, No. 122; ΔE_f = 0.058 eV per formula unit; crystal system = tetragonal
1.0
-2.469 2.469 8.653
2.469 -2.469 8.653
2.469 2.469 -8.653
Ca Mn Au
2 2 4
direct
0.000 0.000 0.000
0.750 0.250 0.500
0.250 0.750 0.500
0.500 0.500 0.000
0.229 0.625 0.104
0.375 0.479 0.604
0.521 0.125 0.896
0.875 0.771 0.396



Record 21
CaMnAu, optimized geometry, DFT GGA-PBE; total DFT energy (no corrections) = -14.92 eV/cell; DOS at the Fermi energy = 0.743 states/eV per atom; magnetic moment = 3.79 μB per formula unit; symmetry = P-6m2, No. 187; ΔE_f = -0.468 eV per formula unit; crystal system = hexagonal
1.0
4.551 0.000 0.000
-2.275 3.941 0.000
0.000 0.000 3.847
Ca Mn Au
1 1 1
direct
0.000 0.000 0.000
0.667 0.333 0.500
0.333 0.667 0.500



Record 22
CaMnPdAu2, optimized geometry, DFT GGA-PBE; total DFT energy (no corrections) = -19.21 eV/cell; DOS at the Fermi energy = 1.506 states/eV per atom; magnetic moment = 0.01 μB per formula unit; symmetry = P4/mmm, No. 123; ΔE_f = 3.710 eV per formula unit; crystal system = tetragonal
1.0
4.742 0.000 0.000
0.000 4.742 0.000
0.000 0.000 5.049
Ca Mn Pd Au
1 1 1 2
direct
0.000 0.000 0.000
0.000 0.000 0.500
0.500 0.500 0.000
0.000 0.500 0.500
0.500 0.000 0.500



Record 23
Ca2MnPd5Au2, optimized geometry, DFT GGA-PBE; total DFT energy (no corrections) = -99.95 eV/cell; DOS at the Fermi energy = 0.283 states/eV per atom; magnetic moment = 4.80 μB per formula unit; symmetry = P4/mbm, No. 127; ΔE_f = -4.282 eV per formula unit; crystal system = tetragonal
1.0
9.779 0.000 0.000
0.000 9.779 0.000
0.000 0.000 4.011
Ca Mn Pd Au
4 2 10 4
direct
0.170 0.330 0.000
0.330 0.830 0.000
0.670 0.170 0.000
0.830 0.670 0.000
0.000 0.000 0.000
0.500 0.500 0.000
0.000 0.500 0.500
0.058 0.808 0.500
0.192 0.058 0.500
0.308 0.558 0.500
0.442 0.308 0.500
0.500 0.000 0.500
0.558 0.692 0.500
0.692 0.442 0.500
0.808 0.942 0.500
0.942 0.192 0.500
0.129 0.629 0.000
0.371 0.129 0.000
0.629 0.871 0.000
0.871 0.371 0.000



Record 24
CaTaMnAu2, optimized geometry, DFT GGA-PBE; total DFT energy (no corrections) = -23.95 eV/cell; DOS at the Fermi energy = 0.849 states/eV per atom; magnetic moment = 4.68 μB per formula unit; symmetry = P4/mmm, No. 123; ΔE_f = 5.629 eV per formula unit; crystal system = tetragonal
1.0
5.110 0.000 0.000
0.000 5.110 0.000
0.000 0.000 5.473
Ca Ta Mn Au
1 1 1 2
direct
0.000 0.000 0.000
0.000 0.000 0.500
0.500 0.500 0.000
0.000 0.500 0.500
0.500 0.000 0.500



Record 25
CaMo2Au, optimized geometry, DFT GGA-PBE; distance to the lowest polymorph of the same formula = 13.82 kcal/mol of atoms; total DFT energy (no corrections) = -23.91 eV/cell; DOS at the Fermi energy = 1.349 states/eV per atom; magnetic moment = 0.00 μB per formula unit; symmetry = R-3m, No. 166; ΔE_f = 3.034 eV per formula unit; crystal system = trigonal
1.0
1.457 0.841 10.131
-1.457 0.841 10.131
0.000 -1.682 10.131
Ca Mo Au
1 2 1
direct
0.000 0.000 0.000
0.244 0.244 0.244
0.756 0.756 0.756
0.500 0.500 0.500



Record 26
CaMoAu, optimized geometry, DFT GGA-PBE; distance to the lowest polymorph of the same formula = 5.39 kcal/mol of atoms; total DFT energy (no corrections) = -14.45 eV/cell; DOS at the Fermi energy = 1.263 states/eV per atom; magnetic moment = 0.00 μB per formula unit; symmetry = P3m1, No. 156; ΔE_f = 1.660 eV per formula unit; crystal system = trigonal
1.0
3.035 0.000 0.000
-1.517 2.628 0.000
0.000 0.000 7.472
Ca Mo Au
1 1 1
direct
0.000 0.000 0.000
0.667 0.333 0.347
0.333 0.667 0.655



Record 27
CaMo2Au, optimized geometry, DFT GGA-PBE; distance to the lowest polymorph of the same formula = 0.00 kcal/mol of atoms; total DFT energy (no corrections) = -26.31 eV/cell; DOS at the Fermi energy = 1.066 states/eV per atom; magnetic moment = 0.00 μB per formula unit; symmetry = P4mm, No. 99; ΔE_f = 0.636 eV per formula unit; crystal system = tetragonal
1.0
3.280 0.000 0.000
0.000 3.280 0.000
0.000 0.000 7.431
Ca Mo Au
1 2 1
direct
0.000 0.000 0.000
0.000 0.000 0.476
0.500 0.500 0.316
0.500 0.500 0.725



Record 28
CaMo2Au, optimized geometry, DFT GGA-PBE; distance to the lowest polymorph of the same formula = 5.64 kcal/mol of atoms; total DFT energy (no corrections) = -25.33 eV/cell; DOS at the Fermi energy = 0.576 states/eV per atom; magnetic moment = 0.00 μB per formula unit; symmetry = Cm, No. 8; ΔE_f = 1.614 eV per formula unit; crystal system = monoclinic
1.0
4.791 -1.365 0.000
4.791 1.365 0.000
-0.395 0.000 5.756
Ca Mo Au
1 2 1
direct
0.000 0.000 0.000
0.524 0.524 0.483
0.763 0.763 0.313
0.252 0.252 0.767



Record 29
CaMoAu2, optimized geometry, DFT GGA-PBE; distance to the lowest polymorph of the same formula = 0.00 kcal/mol of atoms; total DFT energy (no corrections) = -19.39 eV/cell; DOS at the Fermi energy = 0.812 states/eV per atom; magnetic moment = 1.15 μB per formula unit; symmetry = Pmm2, No. 25; ΔE_f = -0.001 eV per formula unit; crystal system = orthorhombic
1.0
3.044 0.000 0.000
0.000 4.972 0.000
0.000 0.000 5.093
Ca Mo Au
1 1 2
direct
0.000 0.000 0.000
0.000 0.500 0.573
0.500 0.000 0.502
0.500 0.500 0.092